No. 1
A relaxed structure of ScAsBr. Source: the Alexandria database, functional PBE.

Unit cell a=7.4235 b=7.4235 c=7.4235 alpha=154.54 beta=154.54 gamma=36.31
Fractional coordinates of all 3 atoms:
1 As 0.0427 0.0427 0.0000
2 Br 0.2916 0.2916 0.0000
3 Sc 0.6657 0.6657 0.0000

DOS(E_F): 0.9 states/eV/cell
total energy: -5.060 eV/atom
formation energy (no corrections): -841.6 meV per atom
ΔE to the lowest computed polymorph: 1.10 eV per formula unit



No. 2
A relaxed structure of ScAsBr2. Source: the Alexandria database, functional PBE.

Unit cell a=4.5590 b=5.7631 c=4.5424 alpha=66.73 beta=90.14 gamma=113.36
Fractional coordinates of all 4 atoms:
1 As 0.5000 0.5000 0.0000
2 Br 0.0000 0.0000 0.0000
3 Br 0.5000 0.0000 0.5000
4 Sc 0.0000 0.5000 0.5000

DOS(E_F): 1.3 states/eV/cell
total energy: -4.041 eV/atom
formation energy (no corrections): -459.2 meV per atom
ΔE to the lowest computed polymorph: 2.06 eV per formula unit



No. 3
A relaxed structure of ScAsBr2. Source: the Alexandria database, functional PBE.

Unit cell a=10.4741 b=10.4741 c=10.4741 alpha=19.23 beta=19.23 gamma=19.23
Fractional coordinates of all 4 atoms:
1 Sc 0.5000 0.5000 0.5000
2 As 0.0000 0.0000 0.0000
3 Br 0.8906 0.8906 0.8906
4 Br 0.1094 0.1094 0.1094

DOS(E_F): 3.8 states/eV/cell
total energy: -4.209 eV/atom
formation energy (no corrections): -627.2 meV per atom
ΔE to the lowest computed polymorph: 1.39 eV per formula unit



No. 4
A relaxed structure of ScAsBr2. Source: the Alexandria database, functional PBE.

Unit cell a=5.9501 b=5.9501 c=5.9501 alpha=138.77 beta=138.77 gamma=59.73
Fractional coordinates of all 4 atoms:
1 As 0.7500 0.2500 0.5000
2 Br 0.0000 0.0000 0.0000
3 Br 0.2500 0.7500 0.5000
4 Sc 0.5000 0.5000 0.0000

DOS(E_F): 1.9 states/eV/cell
total energy: -3.903 eV/atom
formation energy (no corrections): -321.6 meV per atom
ΔE to the lowest computed polymorph: 2.61 eV per formula unit



No. 5
A relaxed structure of ScAsBr2. Source: the Alexandria database, functional PBE.

Unit cell a=4.9837 b=4.9837 c=4.9837 alpha=60.00 beta=60.00 gamma=60.00
Fractional coordinates of all 4 atoms:
1 Sc 0.0000 0.0000 0.0000
2 As 0.5000 0.5000 0.5000
3 Br 0.2500 0.2500 0.2500
4 Br 0.7500 0.7500 0.7500

DOS(E_F): 3.2 states/eV/cell
total energy: -3.848 eV/atom
formation energy (no corrections): -265.9 meV per atom
ΔE to the lowest computed polymorph: 2.83 eV per formula unit



No. 6
A relaxed structure of ScAsBr2. Source: the Alexandria database, functional PBE.

Unit cell a=3.2416 b=3.2416 c=10.6978 alpha=90.00 beta=90.00 gamma=89.99
Fractional coordinates of all 4 atoms:
1 As 0.5000 0.5000 0.7500
2 Br 0.0000 0.0000 0.0946
3 Br 0.0000 0.0000 0.4054
4 Sc 0.5000 0.5000 0.2500

DOS(E_F): 3.3 states/eV/cell
total energy: -4.146 eV/atom
formation energy (no corrections): -564.7 meV per atom
ΔE to the lowest computed polymorph: 1.64 eV per formula unit



No. 7
A relaxed structure of ScAsBr. Source: the Alexandria database, functional PBE.

Unit cell a=7.1652 b=8.3682 c=7.1730 alpha=90.00 beta=138.14 gamma=90.00
Fractional coordinates of all 12 atoms:
1 Sc 0.6867 0.3433 0.4678
2 Sc 0.1867 0.6567 0.9678
3 Sc 0.6867 0.8433 0.9678
4 Sc 0.1867 0.1567 0.4678
5 As 0.7550 0.0489 0.3444
6 As 0.2550 0.9511 0.8444
7 As 0.7550 0.5489 0.8444
8 As 0.2550 0.4511 0.3444
9 Br 0.7741 0.6371 0.3662
10 Br 0.2741 0.3629 0.8662
11 Br 0.7741 0.1371 0.8662
12 Br 0.2741 0.8629 0.3662

DOS(E_F): 4.3 states/eV/cell
total energy: -5.187 eV/atom
formation energy (no corrections): -969.0 meV per atom
ΔE to the lowest computed polymorph: 0.72 eV per formula unit



No. 8
A relaxed structure of ScAsBr. Source: the Alexandria database, functional PBE.

Unit cell a=3.6109 b=3.6109 c=7.1280 alpha=90.00 beta=90.00 gamma=120.00
Fractional coordinates of all 3 atoms:
1 As 0.0000 0.0000 0.9167
2 Br 0.6667 0.3333 0.4174
3 Sc 0.3333 0.6667 0.6659

DOS(E_F): 1.3 states/eV/cell
total energy: -5.160 eV/atom
formation energy (no corrections): -942.0 meV per atom
ΔE to the lowest computed polymorph: 0.80 eV per formula unit



No. 9
A relaxed structure of ScAsBr2. Source: the Alexandria database, functional PBE.

Unit cell a=4.6842 b=4.6350 c=4.6338 alpha=87.53 beta=90.00 gamma=90.00
Fractional coordinates of all 4 atoms:
1 As 0.5000 0.7500 0.7500
2 Br 0.0000 0.0227 0.0227
3 Br 0.0000 0.4773 0.4773
4 Sc 0.5000 0.2500 0.2500

DOS(E_F): 2.3 states/eV/cell
total energy: -4.036 eV/atom
formation energy (no corrections): -454.3 meV per atom
ΔE to the lowest computed polymorph: 2.08 eV per formula unit



No. 10
A relaxed structure of ScAsBr2. Source: the Alexandria database, functional PBE.

Unit cell a=9.7171 b=9.7171 c=7.3895 alpha=48.89 beta=48.89 gamma=90.00
Fractional coordinates of all 8 atoms:
1 Sc 0.5000 0.5000 0.0000
2 Sc 0.2500 0.7500 0.5000
3 As 0.0000 0.0000 0.0000
4 As 0.7500 0.2500 0.5000
5 Br 0.4791 0.1250 0.2500
6 Br 0.2709 0.6250 0.2500
7 Br 0.3750 0.5209 0.7500
8 Br 0.8750 0.7291 0.7500

DOS(E_F): 0.9 states/eV/cell
total energy: -4.286 eV/atom
formation energy (no corrections): -704.0 meV per atom
ΔE to the lowest computed polymorph: 1.08 eV per formula unit



No. 11
A relaxed structure of ScAsBr4. Source: the Alexandria database, functional PBE.

Unit cell a=6.0734 b=6.0734 c=6.0734 alpha=60.00 beta=60.00 gamma=60.00
Fractional coordinates of all 6 atoms:
1 Sc 0.7500 0.7500 0.7500
2 As 0.0000 0.0000 0.0000
3 Br 0.8750 0.3750 0.3750
4 Br 0.3750 0.3750 0.8750
5 Br 0.3750 0.8750 0.3750
6 Br 0.3750 0.3750 0.3750

DOS(E_F): 7.3 states/eV/cell
total energy: -2.425 eV/atom
formation energy (no corrections): 520.1 meV per atom



No. 12
A relaxed structure of ScAsBr. Source: the Alexandria database, functional PBE.

Unit cell a=4.7912 b=4.7912 c=4.7912 alpha=60.00 beta=60.00 gamma=60.00
Fractional coordinates of all 3 atoms:
1 As 0.7500 0.7500 0.7500
2 Br 0.0000 0.0000 0.0000
3 Sc 0.5000 0.5000 0.5000

DOS(E_F): 5.3 states/eV/cell
total energy: -4.364 eV/atom
formation energy (no corrections): -145.9 meV per atom
ΔE to the lowest computed polymorph: 3.19 eV per formula unit